Record 1
Compound: Hf3FePt
Source: Alexandria via LeMat-Bulk
Functional: PBE
Structure: relaxed

Cell lengths 4.6830, 4.6830, 4.6830 Å; angles 90.00, 90.00, 90.00 degrees
Space group Pm-3m (No. 221)
Asymmetric unit:
Hf 0.0000 0.0000 0.5000
Fe 0.0000 0.0000 0.0000
Pt 0.5000 0.5000 0.5000

- formation enthalpy at 0 K (eV/atom) = 0.081
- density (g cm⁻³) = 12.7
- energy above the lowest structure with this stoichiometry (eV per atom) = 0.000



Record 2
Compound: Hf6FePt2
Source: Alexandria via LeMat-Bulk
Functional: PBE
Structure: relaxed

Cell lengths 3.3714, 13.7453, 7.4714 Å; angles 90.00, 90.00, 90.00 degrees
Space group Amm2 (No. 38)
Asymmetric unit:
Hf 0.0000 0.0000 0.9999
Hf 0.0000 0.1289 0.6606
Hf 0.5000 0.0000 0.3614
Hf 0.5000 0.1932 0.0000
Fe 0.5000 0.0000 0.7345
Pt 0.0000 0.1616 0.2945

- formation enthalpy at 0 K (eV/atom) = -0.564
- density (g cm⁻³) = 14.6
- energy above the lowest structure with this stoichiometry (eV per atom) = 0.000



Record 3
Compound: Hf6FePt2
Source: Alexandria via LeMat-Bulk
Functional: PBE
Structure: relaxed

Cell lengths 5.4753, 7.2008, 10.4326 Å; angles 90.00, 120.61, 90.00 degrees
Space group P2_1/c (No. 14)
Asymmetric unit:
Hf 0.0949 0.0478 0.2503
Hf 0.1961 0.7167 0.0539
Hf 0.3845 0.1555 0.0387
Fe 0.5000 0.0000 0.5000
Pt 0.3450 0.0955 0.7215

- formation enthalpy at 0 K (eV/atom) = -0.480
- density (g cm⁻³) = 14.2
- energy above the lowest structure with this stoichiometry (eV per atom) = 0.084



Record 4
Compound: HfFe2Pt2
Source: Alexandria via LeMat-Bulk
Functional: PBE
Structure: relaxed

Cell lengths 3.4773, 3.4773, 13.3768 Å; angles 90.00, 90.00, 90.00 degrees
Space group I4/mmm (No. 139)
Asymmetric unit:
Hf 0.0000 0.0000 0.0000
Fe 0.0000 0.5000 0.2500
Pt 0.0000 0.0000 0.3982

- formation enthalpy at 0 K (eV/atom) = -0.383
- density (g cm⁻³) = 14.0
- energy above the lowest structure with this stoichiometry (eV per atom) = 0.000